1.
Entry from Alexandria: a relaxed Pa2BeSi3Ni12 crystal (PBE-GGA).

Properties
Raw formation energy, eV/atom: -0.18

Unit cell a=7.9662 b=7.9662 c=7.9662 alpha=46.89 beta=46.89 gamma=46.89
With the nearest neighbours (Å) after each atom.
Atoms (fractional coordinates):
Pa (0.1539, 0.1539, 0.1539)  6 Ni 2.55-2.67
Pa (0.8461, 0.8461, 0.8461)  6 Ni 2.55-2.67
Be (0.5000, 0.5000, 0.5000)  6 Ni 2.01
Si (0.0000, 0.5000, 0.5000)  6 Ni 2.29-2.32
Si (0.5000, 0.0000, 0.5000)  6 Ni 2.29-2.32
Si (0.5000, 0.5000, 0.0000)  6 Ni 2.29-2.32
Ni (0.0834, 0.0834, 0.6898)  2 Si 2.29, 6 Ni 2.49-2.51
Ni (0.0834, 0.6898, 0.0834)  2 Si 2.29, 6 Ni 2.49-2.51
Ni (0.1512, 0.5878, 0.5878)  1 Be 2.01
Ni (0.3102, 0.9166, 0.9166)  2 Si 2.29, 6 Ni 2.49-2.51
Ni (0.4122, 0.4122, 0.8488)  1 Be 2.01
Ni (0.4122, 0.8488, 0.4122)  1 Be 2.01
Ni (0.5878, 0.1512, 0.5878)  1 Be 2.01
Ni (0.5878, 0.5878, 0.1512)  1 Be 2.01
Ni (0.6898, 0.0833, 0.0834)  2 Si 2.29, 6 Ni 2.49-2.51
Ni (0.8488, 0.4122, 0.4122)  1 Be 2.01
Ni (0.9166, 0.3102, 0.9166)  2 Si 2.29, 6 Ni 2.49-2.51
Ni (0.9166, 0.9166, 0.3102)  2 Si 2.29, 6 Ni 2.49-2.51

2.
Entry from Alexandria: a relaxed Ac6NdTl2 crystal (PBE-GGA).

Properties
Formation energy from the elements, eV/atom: -0.139

Unit cell a=7.3389 b=7.3389 c=13.0596 alpha=106.96 beta=106.96 gamma=32.19
With the nearest neighbours (Å) after each atom.
Atoms (fractional coordinates):
Ac (0.0266, 0.0266, 0.3358)  2 Tl 3.54, 3 Ac 3.81-3.92
Ac (0.3090, 0.3090, 0.4050)  2 Tl 3.73, 10 Ac 3.75-4.07
Ac (0.3217, 0.3217, 0.1224)  2 Tl 3.55, 5 Ac 3.75-3.92, 2 Nd 3.93
Ac (0.6783, 0.6783, 0.8776)  2 Tl 3.55, 5 Ac 3.75-3.92, 2 Nd 3.93
Ac (0.6910, 0.6910, 0.5950)  2 Tl 3.73, 10 Ac 3.75-4.07
Ac (0.9734, 0.9734, 0.6642)  2 Tl 3.54, 3 Ac 3.81-3.92
Nd (0.0000, 0.0000, 0.0000)  4 Tl 3.32
Tl (0.3593, 0.3593, 0.8152)  2 Nd 3.32, 4 Ac 3.54-3.55
Tl (0.6407, 0.6407, 0.1848)  2 Nd 3.32, 4 Ac 3.54-3.55

Number 1: magnetic moment 0.00 μB per cell, density of states at the Fermi level 13.08 states/eV/cell, raw total energy -111.568 eV/f.u.. Number 2: magnetic moment 0.00 μB per cell, density of states at the Fermi level 11.44 states/eV/cell, raw total energy -35.406 eV/f.u..